(1)
! PBE ZnPCl4, relaxed; values from VASP
&SYSTEM
  ibrav = 0, nat = 6, ntyp = 3
/
ATOMIC_SPECIES
P 30.97 P.upf
Cl 35.45 Cl.upf
Zn 65.41 Zn.upf
ATOMIC_POSITIONS crystal
P 0.750 0.750 0.750
Cl 0.375 0.876 0.375
Cl 0.375 0.375 0.876
Cl 0.876 0.375 0.375
Cl 0.375 0.375 0.375
Zn 0.000 0.000 0.000
CELL_PARAMETERS angstrom
0.784 2.141 5.422
-3.071 4.689 1.783
-4.226 -0.617 4.045
! - uncorrected formation energy (eV/atom) = 0.97
! - VASP energy (eV per atom) = -1.374
! - size of the total moment (μB/f.u.) = 3.23
! - space group = F-43m

(2)
! PBE BaVHgIr2, relaxed; values from VASP
&SYSTEM
  ibrav = 0, nat = 5, ntyp = 4
/
ATOMIC_SPECIES
Ir 192.22 Ir.upf
V 50.94 V.upf
Hg 200.59 Hg.upf
Ba 137.33 Ba.upf
ATOMIC_POSITIONS crystal
Ir 0.000 0.000 0.500
Ir 0.500 0.000 0.000
V 0.500 0.500 0.500
Hg 0.000 0.000 0.000
Ba 0.000 0.500 0.000
CELL_PARAMETERS angstrom
5.074 0.000 0.000
0.000 5.634 0.000
0.000 0.000 5.074
! - ΔH_f (0 K) (eV/f.u.) = 9.9
! - VASP energy (eV per atom) = -3.830
! - size of the total moment (μB/f.u.) = 0.01
! - space group = P4/mmm

(3)
! PBE RbCrCl3, relaxed; values from VASP
&SYSTEM
  ibrav = 0, nat = 20, ntyp = 3
/
ATOMIC_SPECIES
Cl 35.45 Cl.upf
Rb 85.47 Rb.upf
Cr 52.00 Cr.upf
ATOMIC_POSITIONS crystal
Cl 0.416 0.925 0.267
Rb 0.750 0.110 0.610
Cl 0.331 0.457 0.320
Cl 0.169 0.820 0.957
Rb 0.250 0.386 0.886
Cl 0.329 0.960 0.830
Cl 0.671 0.040 0.170
Rb 0.250 0.890 0.390
Cr 0.288 0.404 0.472
Cr 0.712 0.596 0.528
Cl 0.584 0.075 0.733
Rb 0.750 0.614 0.114
Cl 0.831 0.180 0.043
Cr 0.212 0.972 0.904
Cl 0.916 0.233 0.575
Cl 0.829 0.670 0.540
Cl 0.171 0.330 0.460
Cr 0.788 0.028 0.096
Cl 0.084 0.767 0.425
Cl 0.669 0.543 0.680
CELL_PARAMETERS angstrom
15.700 0.000 -1.166
6.696 5.510 -4.396
-6.696 5.510 4.396
! - uncorrected formation energy (eV/atom) = -1.32
! - VASP energy (eV per atom) = -4.547
! - size of the total moment (μB/f.u.) = 4.00
! - space group = C2/c

(4)
! PBE TlWBr, relaxed; values from VASP
&SYSTEM
  ibrav = 0, nat = 3, ntyp = 3
/
ATOMIC_SPECIES
Tl 204.38 Tl.upf
W 183.84 W.upf
Br 79.90 Br.upf
ATOMIC_POSITIONS crystal
Tl 0.688 0.688 0.312
W 0.346 0.346 0.654
Br 0.966 0.966 0.034
CELL_PARAMETERS angstrom
8.980 0.049 -0.029
8.124 3.079 -0.043
0.856 -1.452 2.659
! - uncorrected formation energy (eV/atom) = 0.79
! - VASP energy (eV per atom) = -4.878
! - size of the total moment (μB/f.u.) = 0.00
! - space group = Fmm2

| no. | N(E_F) (states/eV per cell) |
| --- | --- |
| 1 | 8.32 |
| 2 | 9.50 |
| 3 | 0.00 |
| 4 | 2.10 |